No. 1
Ac2SmErSb4 | PBE-GGA | relaxed

## Properties
The value obtained for the density of states at the Fermi level is 1.06 states/eV/f.u. The uncorrected formation energy comes out at -1.154 eV per atom. The symmetry is P2/m (10).

Unit cell a=4.611 b=7.978 c=7.981 alpha=70.52 beta=90.00 gamma=90.00
Fractional coordinates of all 8 atoms:
Ac (0.000, 0.000, 0.000)
Ac (0.500, 0.000, 0.500)
Er (0.000, 0.500, 0.500)
Sb (0.000, 0.730, 0.753)
Sm (0.500, 0.500, 0.000)
Sb (0.500, 0.273, 0.739)
Sb (0.000, 0.271, 0.247)
Sb (0.500, 0.727, 0.261)

No. 2
Be2ReIr | PBE-GGA | relaxed

## Properties
The value obtained for the density of states at the Fermi level is 1.89 states/eV/f.u. The symmetry is I-42d (122). Its formation energy from the elements is 0.31 eV/atom. For the polymorph energy (0 for the lowest one), the calculation gives 636 meV/atom.

Unit cell a=6.027 b=6.027 c=5.030 alpha=53.19 beta=53.19 gamma=90.00
Fractional coordinates of all 8 atoms:
Be (0.114, 0.625, 0.250)
Ir (0.000, 0.000, 0.000)
Ir (0.750, 0.250, 0.500)
Be (0.636, 0.125, 0.250)
Re (0.250, 0.750, 0.500)
Be (0.375, 0.364, 0.750)
Re (0.500, 0.500, 0.000)
Be (0.875, 0.886, 0.750)

No. 3
TlTeAsSe | PBE-GGA | relaxed

## Properties
The uncorrected formation energy comes out at -0.183 eV per atom. The symmetry is R3m (160).

Unit cell a=4.100 b=4.101 c=8.444 alpha=90.00 beta=104.05 gamma=120.00
Fractional coordinates of all 4 atoms:
Se (0.109, 0.952, 0.076)
Te (0.516, 0.156, 0.687)
As (0.313, 0.554, 0.883)
Tl (0.940, 0.368, 0.323)

No. 4
LiDyYSi | PBE-GGA | relaxed

## Properties
The value obtained for the density of states at the Fermi level is 2.15 states/eV/f.u. The uncorrected formation energy comes out at -0.375 eV per atom. The symmetry is F-43m (216).

Unit cell a=4.969 b=4.969 c=4.969 alpha=60.00 beta=60.00 gamma=60.00
Fractional coordinates of all 4 atoms:
Dy (0.500, 0.500, 0.500)
Li (0.250, 0.250, 0.250)
Y (0.000, 0.000, 0.000)
Si (0.750, 0.750, 0.750)

No. 5
DyEr2NpP4 | PBE-GGA | relaxed

## Properties
The value obtained for the density of states at the Fermi level is 9.95 states/eV/f.u. The symmetry is P2/m (10). Its formation energy from the elements is -1.42 eV/atom.

Unit cell a=3.967 b=6.877 c=6.871 alpha=109.34 beta=90.00 gamma=90.00
Site moments in Bohr magnetons follow the coordinates.
Fractional coordinates of all 8 atoms:
Np (0.000, 0.000, 0.000)  3.49
P (0.500, 0.753, 0.751)  -0.07
Dy (0.500, 0.500, 0.000)  0.03
P (0.000, 0.754, 0.249)  -0.04
Er (0.000, 0.500, 0.500)  0.01
Er (0.500, 0.000, 0.500)  0.02
P (0.000, 0.246, 0.751)  -0.04
P (0.500, 0.247, 0.249)  -0.07

No. 6
ZrCoH3 | PBE-GGA | relaxed

## Properties
The value obtained for the density of states at the Fermi level is 2.09 states/eV/f.u. The symmetry is P2_1/m (11).

Unit cell a=4.125 b=4.191 c=5.502 alpha=90.00 beta=90.00 gamma=117.11
Site moments in Bohr magnetons follow the coordinates.
Fractional coordinates of all 10 atoms:
H (0.147, 0.866, 0.250)  0.00
Co (0.000, 0.000, 0.500)  0.39
Zr (0.665, 0.339, 0.250)  -0.01
H (0.780, 0.597, 0.577)  0.00
H (0.220, 0.403, 0.423)  0.00
Zr (0.335, 0.661, 0.750)  -0.01
H (0.853, 0.134, 0.750)  0.00
H (0.780, 0.597, 0.923)  0.00
H (0.220, 0.403, 0.077)  0.00
Co (0.000, 0.000, 0.000)  0.39

No. 7
UCrH2 | PBE-GGA | relaxed

## Properties
The value obtained for the density of states at the Fermi level is 4.23 states/eV/f.u. The symmetry is R-3m (166).

Unit cell a=2.868 b=2.868 c=5.652 alpha=75.30 beta=75.30 gamma=60.00
Site moments in Bohr magnetons follow the coordinates.
Fractional coordinates of all 4 atoms:
H (0.280, 0.280, 0.160)  -0.01
U (0.500, 0.500, 0.500)  -0.55
Cr (0.000, 0.000, 0.000)  1.46
H (0.720, 0.720, 0.840)  -0.01

No. 8
Tl3SbPb2Se6 | PBE-GGA | relaxed

## Properties
The value obtained for the density of states at the Fermi level is 6.78 states/eV/f.u. The uncorrected formation energy comes out at -0.379 eV per atom. The symmetry is C2/m (12).

Unit cell a=7.470 b=7.470 c=7.673 alpha=99.57 beta=99.57 gamma=119.75
Fractional coordinates of all 12 atoms:
Se (0.391, 0.077, 0.228)
Se (0.609, 0.923, 0.772)
Se (0.768, 0.768, 0.239)
Tl (0.175, 0.825, 0.500)
Pb (0.664, 0.336, 0.000)
Se (0.923, 0.609, 0.772)
Pb (0.336, 0.664, 0.000)
Se (0.232, 0.232, 0.761)
Sb (0.000, 0.000, 0.000)
Tl (0.500, 0.500, 0.500)
Tl (0.825, 0.175, 0.500)
Se (0.077, 0.391, 0.228)

No. 9
Ho7Mg2Ru2 | PBE-GGA | relaxed

## Properties
The value obtained for the density of states at the Fermi level is 9.10 states/eV/f.u. The symmetry is Cmmm (65). Its formation energy from the elements is -0.08 eV/atom.

Unit cell a=6.764 b=7.219 c=6.764 alpha=90.00 beta=107.62 gamma=90.00
Fractional coordinates of all 11 atoms:
Ru (0.292, 0.000, 0.708)
Ho (0.500, 0.247, 0.000)
Mg (0.174, 0.500, 0.174)
Ho (0.000, 0.247, 0.500)
Ho (0.000, 0.753, 0.500)
Ho (0.500, 0.753, 0.000)
Ru (0.708, 0.000, 0.292)
Ho (0.500, 0.765, 0.500)
Ho (0.000, 0.000, 0.000)
Mg (0.826, 0.500, 0.826)
Ho (0.500, 0.235, 0.500)

No. 10
YTiSi2 | PBE-GGA | relaxed

## Properties
The value obtained for the density of states at the Fermi level is 3.76 states/eV/f.u. The uncorrected formation energy comes out at -0.040 eV per atom. The symmetry is I-42d (122). For the polymorph energy (0 for the lowest one), the calculation gives 194 meV/atom.

Unit cell a=4.628 b=4.628 c=9.125 alpha=75.31 beta=75.31 gamma=90.00
Fractional coordinates of all 8 atoms:
Si (0.375, 0.532, 0.750)
Si (0.875, 0.718, 0.750)
Si (0.468, 0.125, 0.250)
Y (0.750, 0.250, 0.500)
Ti (0.250, 0.750, 0.500)
Si (0.282, 0.625, 0.250)
Ti (0.500, 0.500, 0.000)
Y (0.000, 0.000, 0.000)

No. 11
Sr2Sn3Pd6 | PBE-GGA | relaxed

## Properties
The value obtained for the density of states at the Fermi level is 2.42 states/eV/f.u. The symmetry is P-62m (189). Its formation energy from the elements is -0.55 eV/atom.

Unit cell a=4.615 b=7.824 c=7.824 alpha=120.00 beta=90.00 gamma=90.00
Fractional coordinates of all 11 atoms:
Pd (0.000, 0.204, 0.204)
Pd (0.000, 0.796, 0.000)
Sr (0.000, 0.333, 0.667)
Sn (0.500, 0.619, 0.000)
Sr (0.000, 0.667, 0.333)
Sn (0.500, 0.381, 0.381)
Pd (0.500, 0.000, 0.276)
Pd (0.000, 0.000, 0.796)
Sn (0.500, 0.000, 0.619)
Pd (0.500, 0.276, 0.000)
Pd (0.500, 0.724, 0.724)

No. 12
HfRe2OsI | PBE-GGA | relaxed

## Properties
The value obtained for the density of states at the Fermi level is 4.98 states/eV/f.u. The uncorrected formation energy comes out at 1.900 eV per atom. The symmetry is P4/mmm (123).

Unit cell a=4.735 b=5.161 c=4.735 alpha=90.00 beta=90.00 gamma=90.00
Fractional coordinates of all 5 atoms:
Os (0.000, 0.000, 0.000)
Re (0.000, 0.000, 0.500)
Re (0.500, 0.000, 0.000)
Hf (0.500, 0.500, 0.500)
I (0.000, 0.500, 0.000)

Number 1: E_tot -5.40 eV/atom, total magnetic moment 0.0 μB per formula unit, V 34.6 Å³ per atom. Number 2: E_tot -6.88 eV/atom, total magnetic moment 0.0 μB per formula unit, V 12.1 Å³ per atom. Number 3: E_tot -3.59 eV/atom, total magnetic moment 0.0 μB per formula unit, V 29.5 Å³ per atom. Number 4: E_tot -4.98 eV/atom, total magnetic moment 0.0 μB per formula unit, V 21.7 Å³ per atom. Number 5: E_tot -7.46 eV/atom, total magnetic moment 3.6 μB per formula unit, V 22.1 Å³ per atom. Number 6: E_tot -5.41 eV/atom, total magnetic moment 0.4 μB per formula unit, V 8.5 Å³ per atom. Number 7: E_tot -6.86 eV/atom, total magnetic moment 0.9 μB per formula unit, V 9.6 Å³ per atom. Number 8: E_tot -3.67 eV/atom, total magnetic moment 0.0 μB per formula unit, V 29.2 Å³ per atom. Number 9: E_tot -4.97 eV/atom, total magnetic moment 0.0 μB per formula unit, V 28.6 Å³ per atom. Number 10: E_tot -6.34 eV/atom, total magnetic moment 0.0 μB per formula unit, V 22.8 Å³ per atom. Number 11: E_tot -4.78 eV/atom, total magnetic moment 0.0 μB per formula unit, V 22.2 Å³ per atom. Number 12: E_tot -7.63 eV/atom, total magnetic moment 0.0 μB per formula unit, V 23.1 Å³ per atom.